a | Material: Sr2Rh2O
Method: DFT, PBE
State: optimized geometry

V: 20.8 Å³/atom
Symmetry: P4/mbm, No. 127

The structure in CIF format:
```
data_Sr2Rh2O
_cell_length_a 6.9059
_cell_length_b 6.9059
_cell_length_c 4.3648
_cell_angle_alpha 90.00
_cell_angle_beta 90.00
_cell_angle_gamma 90.00
_space_group_name_H-M_alt 'P 1'
_space_group_IT_number 1
_space_group_name_Hall 'P 1'
loop_
_atom_site_label
_atom_site_type_symbol
_atom_site_fract_x
_atom_site_fract_y
_atom_site_fract_z
Sr1 Sr 0.1806 0.3194 0.0000
Sr2 Sr 0.3194 0.8194 0.0000
Sr3 Sr 0.6806 0.1806 0.0000
Sr4 Sr 0.8194 0.6806 0.0000
Rh1 Rh 0.1344 0.6344 0.5000
Rh2 Rh 0.3656 0.1344 0.5000
Rh3 Rh 0.6344 0.8656 0.5000
Rh4 Rh 0.8656 0.3656 0.5000
O1 O 0.0000 0.0000 0.5000
O2 O 0.5000 0.5000 0.5000
```


b | Material: Sr2Rh2O
Method: DFT, PBE
State: optimized geometry

V: 23.3 Å³/atom
Symmetry: P4/mbm, No. 127

The structure in CIF format:
```
data_Sr2Rh2O
_cell_length_a 6.7645
_cell_length_b 6.7645
_cell_length_c 5.0895
_cell_angle_alpha 90.00
_cell_angle_beta 90.00
_cell_angle_gamma 90.00
_space_group_name_H-M_alt 'P 1'
_space_group_IT_number 1
_space_group_name_Hall 'P 1'
loop_
_atom_site_label
_atom_site_type_symbol
_atom_site_fract_x
_atom_site_fract_y
_atom_site_fract_z
Sr1 Sr 0.1886 0.3114 0.0000
Sr2 Sr 0.3114 0.8114 0.0000
Sr3 Sr 0.6886 0.1886 0.0000
Sr4 Sr 0.8114 0.6886 0.0000
Rh1 Rh 0.1264 0.6264 0.5000
Rh2 Rh 0.3736 0.1264 0.5000
Rh3 Rh 0.6264 0.8736 0.5000
Rh4 Rh 0.8736 0.3736 0.5000
O1 O 0.0000 0.0000 0.0000
O2 O 0.5000 0.5000 0.0000
```


Calculated relative energies: a 238; b 0, given in meV per atom